1.
Computed, not measured: a relaxed Nd6Tl3Rh crystal at the PBE-GGA level of DFT.

```
data_Nd6Tl3Rh
_cell_length_a 8.702
_cell_length_b 8.702
_cell_length_c 8.702
_cell_angle_alpha 93.16
_cell_angle_beta 93.16
_cell_angle_gamma 93.16
_space_group_name_H-M_alt 'P 1'
_space_group_IT_number 1
_space_group_name_Hall 'P 1'
loop_
_atom_site_label
_atom_site_type_symbol
_atom_site_fract_x
_atom_site_fract_y
_atom_site_fract_z
_atom_site_occupancy
Rh1 Rh 0.500 0.500 0.500 1
Rh2 Rh 0.000 0.000 0.000 1
Tl1 Tl 0.857 0.643 0.250 1
Tl2 Tl 0.357 0.750 0.143 1
Tl3 Tl 0.143 0.357 0.750 1
Tl4 Tl 0.750 0.143 0.357 1
Tl5 Tl 0.643 0.250 0.857 1
Tl6 Tl 0.250 0.857 0.643 1
Nd1 Nd 0.581 0.810 0.453 1
Nd2 Nd 0.690 0.919 0.046 1
Nd3 Nd 0.190 0.547 0.419 1
Nd4 Nd 0.547 0.419 0.190 1
Nd5 Nd 0.046 0.690 0.919 1
Nd6 Nd 0.919 0.046 0.690 1
Nd7 Nd 0.081 0.954 0.310 1
Nd8 Nd 0.453 0.581 0.810 1
Nd9 Nd 0.310 0.081 0.954 1
Nd10 Nd 0.419 0.190 0.547 1
Nd11 Nd 0.954 0.310 0.081 1
Nd12 Nd 0.810 0.453 0.581 1
```

## Properties
For the formation energy, the calculation gives -258.9 meV per atom. The total moment is 0.00 μB per cell. The symmetry is R-3c (167). The calculated total energy is -4.5646 eV per atom.

2.
Computed, not measured: a relaxed Mg3SbN crystal at the PBE-GGA level of DFT.

```
data_Mg3SbN
_cell_length_a 3.259
_cell_length_b 5.619
_cell_length_c 5.619
_cell_angle_alpha 87.85
_cell_angle_beta 90.00
_cell_angle_gamma 90.00
_space_group_name_H-M_alt 'P 1'
_space_group_IT_number 1
_space_group_name_Hall 'P 1'
loop_
_atom_site_label
_atom_site_type_symbol
_atom_site_fract_x
_atom_site_fract_y
_atom_site_fract_z
_atom_site_occupancy
Mg1 Mg 0.500 0.686 0.638 1
Mg2 Mg 0.000 0.209 0.791 1
Mg3 Mg 0.500 0.362 0.314 1
Sb1 Sb 0.500 0.901 0.099 1
N1 N 0.000 0.470 0.530 1
```

## Properties
For the uncorrected formation energy, the calculation gives -130 kJ/mol of formula units. The total moment is 0.00 μB per cell. The symmetry is Amm2 (38). The calculated total energy is -3.7155 eV per atom.

3.
Computed, not measured: a relaxed CrGaSe2N crystal at the PBE-GGA level of DFT.

```
data_CrGaSe2N
_cell_length_a 5.157
_cell_length_b 5.157
_cell_length_c 3.649
_cell_angle_alpha 90.00
_cell_angle_beta 90.00
_cell_angle_gamma 90.00
_space_group_name_H-M_alt 'P 1'
_space_group_IT_number 1
_space_group_name_Hall 'P 1'
loop_
_atom_site_label
_atom_site_type_symbol
_atom_site_fract_x
_atom_site_fract_y
_atom_site_fract_z
_atom_site_occupancy
Cr1 Cr 0.500 0.500 0.500 1
N1 N 0.000 0.000 0.500 1
Se1 Se 0.500 0.000 0.000 1
Se2 Se 0.000 0.500 0.000 1
Ga1 Ga 0.000 0.000 0.000 1
```

## Properties
For the uncorrected formation energy, the calculation gives 327 kJ/mol of formula units. The value obtained for the offset from the most stable computed form is 57.9 kJ/mol of atoms. The total moment is 1.99 μB per cell. The symmetry is P4/mmm (123). The calculated total energy is -4.9117 eV per atom.

4.
Computed, not measured: a relaxed Pm2Nd3Ge2 crystal at the PBE-GGA level of DFT.

```
data_Pm2Nd3Ge2
_cell_length_a 4.294
_cell_length_b 6.413
_cell_length_c 8.851
_cell_angle_alpha 103.93
_cell_angle_beta 104.04
_cell_angle_gamma 109.56
_space_group_name_H-M_alt 'P 1'
_space_group_IT_number 1
_space_group_name_Hall 'P 1'
loop_
_atom_site_label
_atom_site_type_symbol
_atom_site_fract_x
_atom_site_fract_y
_atom_site_fract_z
_atom_site_occupancy
Nd1 Nd 0.188 0.819 0.558 1
Nd2 Nd 0.500 0.000 0.000 1
Nd3 Nd 0.812 0.181 0.442 1
Ge1 Ge 0.973 0.146 0.800 1
Ge2 Ge 0.027 0.854 0.200 1
Pm1 Pm 0.656 0.505 0.806 1
Pm2 Pm 0.344 0.495 0.194 1
```

## Properties
For the formation energy, the calculation gives -509.6 meV per atom. The total moment is 0.00 μB per cell. The symmetry is C2/m (12). The calculated total energy is -5.2296 eV per atom.

5.
Computed, not measured: a relaxed PmGeRuRh crystal at the PBE-GGA level of DFT.

```
data_PmGeRuRh
_cell_length_a 4.618
_cell_length_b 4.618
_cell_length_c 4.618
_cell_angle_alpha 60.00
_cell_angle_beta 60.00
_cell_angle_gamma 60.00
_space_group_name_H-M_alt 'P 1'
_space_group_IT_number 1
_space_group_name_Hall 'P 1'
loop_
_atom_site_label
_atom_site_type_symbol
_atom_site_fract_x
_atom_site_fract_y
_atom_site_fract_z
_atom_site_occupancy
Rh1 Rh 0.000 0.000 0.000 1
Ru1 Ru 0.500 0.500 0.500 1
Ge1 Ge 0.250 0.250 0.250 1
Pm1 Pm 0.750 0.750 0.750 1
```

## Properties
For the formation energy, the calculation gives -415.5 meV per atom. The total moment is 0.00 μB per cell. The symmetry is F-43m (216). The calculated total energy is -6.9143 eV per atom.

6.
Computed, not measured: a relaxed TbPm2SmTe5 crystal at the PBE-GGA level of DFT.

```
data_TbPm2SmTe5
_cell_length_a 5.556
_cell_length_b 5.556
_cell_length_c 11.741
_cell_angle_alpha 90.00
_cell_angle_beta 90.00
_cell_angle_gamma 90.00
_space_group_name_H-M_alt 'P 1'
_space_group_IT_number 1
_space_group_name_Hall 'P 1'
loop_
_atom_site_label
_atom_site_type_symbol
_atom_site_fract_x
_atom_site_fract_y
_atom_site_fract_z
_atom_site_occupancy
Te1 Te 0.000 0.000 0.248 1
Te2 Te 0.000 0.500 0.500 1
Te3 Te 0.000 0.000 0.752 1
Te4 Te 0.500 0.000 0.500 1
Te5 Te 0.500 0.500 0.000 1
Pm1 Pm 0.500 0.500 0.345 1
Pm2 Pm 0.500 0.500 0.655 1
Sm1 Sm 0.000 0.000 0.000 1
Tb1 Tb 0.000 0.000 0.500 1
```

## Properties
For the uncorrected formation energy, the calculation gives -680 kJ/mol of formula units. The total moment is 0.62 μB per cell. The symmetry is P4/mmm (123). The calculated total energy is -4.6227 eV per atom.

7.
Computed, not measured: a relaxed PrIn2GaPd4 crystal at the PBE-GGA level of DFT.

```
data_PrIn2GaPd4
_cell_length_a 4.546
_cell_length_b 4.546
_cell_length_c 9.124
_cell_angle_alpha 75.57
_cell_angle_beta 75.57
_cell_angle_gamma 60.00
_space_group_name_H-M_alt 'P 1'
_space_group_IT_number 1
_space_group_name_Hall 'P 1'
loop_
_atom_site_label
_atom_site_type_symbol
_atom_site_fract_x
_atom_site_fract_y
_atom_site_fract_z
_atom_site_occupancy
Pd1 Pd 0.402 0.402 0.794 1
Pd2 Pd 0.136 0.136 0.593 1
Pd3 Pd 0.864 0.864 0.407 1
Pd4 Pd 0.598 0.598 0.206 1
In1 In 0.756 0.756 0.733 1
In2 In 0.244 0.244 0.267 1
Ga1 Ga 0.500 0.500 0.500 1
Pr1 Pr 0.000 0.000 0.000 1
```

## Properties
For the formation energy, the calculation gives -621.7 meV per atom. The total moment is 0.00 μB per cell. The symmetry is R-3m (166). The calculated total energy is -4.8785 eV per atom.

8.
Computed, not measured: a relaxed BiPPbCl2 crystal at the PBE-GGA level of DFT.

```
data_BiPPbCl2
_cell_length_a 5.459
_cell_length_b 5.459
_cell_length_c 5.744
_cell_angle_alpha 90.00
_cell_angle_beta 90.00
_cell_angle_gamma 90.00
_space_group_name_H-M_alt 'P 1'
_space_group_IT_number 1
_space_group_name_Hall 'P 1'
loop_
_atom_site_label
_atom_site_type_symbol
_atom_site_fract_x
_atom_site_fract_y
_atom_site_fract_z
_atom_site_occupancy
Bi1 Bi 0.500 0.500 0.500 1
Pb1 Pb 0.000 0.000 0.000 1
P1 P 0.000 0.000 0.500 1
Cl1 Cl 0.500 0.000 0.000 1
Cl2 Cl 0.000 0.500 0.000 1
```

## Properties
For the uncorrected formation energy, the calculation gives 90 kJ/mol of formula units. The value obtained for the offset from the most stable computed form is 8.7 kJ/mol of atoms. The total moment is 0.44 μB per cell. The symmetry is P4/mmm (123). The calculated total energy is -3.1519 eV per atom.

9.
Computed, not measured: a relaxed K2TaAs crystal at the PBE-GGA level of DFT.

```
data_K2TaAs
_cell_length_a 6.555
_cell_length_b 6.555
_cell_length_c 6.555
_cell_angle_alpha 143.92
_cell_angle_beta 143.92
_cell_angle_gamma 51.95
_space_group_name_H-M_alt 'P 1'
_space_group_IT_number 1
_space_group_name_Hall 'P 1'
loop_
_atom_site_label
_atom_site_type_symbol
_atom_site_fract_x
_atom_site_fract_y
_atom_site_fract_z
_atom_site_occupancy
Ta1 Ta 0.250 0.750 0.500 1
As1 As 0.750 0.250 0.500 1
K1 K 0.500 0.500 0.000 1
K2 K 0.000 0.000 0.000 1
```

## Properties
For the formation energy, the calculation gives 766.7 meV per atom. The total moment is 1.02 μB per cell. The symmetry is I4/mmm (139). The calculated total energy is -3.9076 eV per atom.

10.
Computed, not measured: a relaxed Pr7Cu3 crystal at the PBE-GGA level of DFT.

```
data_Pr7Cu3
_cell_length_a 6.412
_cell_length_b 10.255
_cell_length_c 10.255
_cell_angle_alpha 120.00
_cell_angle_beta 90.00
_cell_angle_gamma 90.00
_space_group_name_H-M_alt 'P 1'
_space_group_IT_number 1
_space_group_name_Hall 'P 1'
loop_
_atom_site_label
_atom_site_type_symbol
_atom_site_fract_x
_atom_site_fract_y
_atom_site_fract_z
_atom_site_occupancy
Pr1 Pr 0.132 0.077 0.538 1
Pr2 Pr 0.119 0.667 0.333 1
Pr3 Pr 0.934 0.253 0.127 1
Pr4 Pr 0.632 0.923 0.462 1
Pr5 Pr 0.434 0.127 0.253 1
Pr6 Pr 0.434 0.747 0.873 1
Pr7 Pr 0.934 0.873 0.747 1
Pr8 Pr 0.632 0.538 0.462 1
Pr9 Pr 0.619 0.333 0.667 1
Pr10 Pr 0.434 0.127 0.873 1
Pr11 Pr 0.632 0.538 0.077 1
Pr12 Pr 0.132 0.462 0.538 1
Pr13 Pr 0.132 0.462 0.923 1
Pr14 Pr 0.934 0.873 0.127 1
Cu1 Cu 0.864 0.190 0.810 1
Cu2 Cu 0.864 0.190 0.379 1
Cu3 Cu 0.364 0.810 0.190 1
Cu4 Cu 0.364 0.379 0.190 1
Cu5 Cu 0.364 0.810 0.621 1
Cu6 Cu 0.864 0.621 0.810 1
```

## Properties
For the formation energy, the calculation gives -76.1 meV per atom. The total moment is 0.00 μB per cell. The symmetry is P6_3mc (186). The calculated total energy is -4.6506 eV per atom.

11.
Computed, not measured: a relaxed ScAu3S crystal at the PBE-GGA level of DFT.

```
data_ScAu3S
_cell_length_a 5.180
_cell_length_b 5.180
_cell_length_c 5.180
_cell_angle_alpha 90.00
_cell_angle_beta 90.00
_cell_angle_gamma 90.00
_space_group_name_H-M_alt 'P 1'
_space_group_IT_number 1
_space_group_name_Hall 'P 1'
loop_
_atom_site_label
_atom_site_type_symbol
_atom_site_fract_x
_atom_site_fract_y
_atom_site_fract_z
_atom_site_occupancy
S1 S 0.500 0.500 0.500 1
Sc1 Sc 0.000 0.000 0.000 1
Au1 Au 0.000 0.000 0.500 1
Au2 Au 0.500 0.000 0.000 1
Au3 Au 0.000 0.500 0.000 1
```

## Properties
For the uncorrected formation energy, the calculation gives 397 kJ/mol of formula units. The value obtained for the offset from the most stable computed form is 54.7 kJ/mol of atoms. The total moment is 1.99 μB per cell. The symmetry is Pm-3m (221). The calculated total energy is -3.2361 eV per atom.

12.
Computed, not measured: a relaxed SmAl2Rh2 crystal at the PBE-GGA level of DFT.

```
data_SmAl2Rh2
_cell_length_a 4.217
_cell_length_b 4.217
_cell_length_c 10.792
_cell_angle_alpha 101.27
_cell_angle_beta 101.27
_cell_angle_gamma 90.00
_space_group_name_H-M_alt 'P 1'
_space_group_IT_number 1
_space_group_name_Hall 'P 1'
loop_
_atom_site_label
_atom_site_type_symbol
_atom_site_fract_x
_atom_site_fract_y
_atom_site_fract_z
_atom_site_occupancy
Rh1 Rh 0.750 0.250 0.500 1
Rh2 Rh 0.931 0.931 0.862 1
Rh3 Rh 0.069 0.069 0.138 1
Rh4 Rh 0.250 0.750 0.500 1
Al1 Al 0.189 0.189 0.378 1
Al2 Al 0.811 0.811 0.622 1
Al3 Al 0.000 0.500 0.000 1
Al4 Al 0.500 0.000 0.000 1
Sm1 Sm 0.369 0.369 0.738 1
Sm2 Sm 0.631 0.631 0.262 1
```

## Properties
For the formation energy, the calculation gives -884.3 meV per atom. The total moment is 0.00 μB per cell. The symmetry is I4/mmm (139). The calculated total energy is -6.2657 eV per atom.

Calculated DOS at the Fermi energy, 1.227, 0.283, 0.357, 0.983, 0.234, 0.516, 0.492, 0.638, 0.791, 1.049, 0.640, 0.631 states/eV/atom (same order as the records).